No. 1
A plane-wave DFT calculation with PBE was carried out for a relaxed structure of Tb7Ir2Ru2.

The structure belongs to space group C2/m (No. 12); the cell edges are 10.417, 7.869 and 6.878 Å and the angles 90.00°, 90.08° and 90.00°. The distinct sites, in fractional coordinates, are Tb at (0.000, 0.000, 0.000), Tb at (0.000, 0.500, 0.260), Tb at (0.250, 0.250, 0.274), Ir at (0.216, 0.500, 0.000) and Ru at (0.000, 0.175, 0.500).

Its formation energy is -293 meV per atom. As for the density of states at the Fermi level: 0.65 states/eV per atom.

***

No. 2
A plane-wave DFT calculation with PBE was carried out for a relaxed structure of Tb6IrRu2.

The structure belongs to space group Fmmm (No. 69); the cell edges are 4.815, 13.244 and 14.440 Å and the angles 90.00°, 90.00° and 90.00°. The distinct sites, in fractional coordinates, are Tb at (0.000, 0.127, 0.000), Tb at (0.000, 0.127, 0.333), Ir at (0.000, 0.000, 0.500) and Ru at (0.000, 0.000, 0.167).

Its formation energy is -398 meV per atom. Its energy above the most stable polymorph in this dataset is 0.00 eV per formula unit. As for the density of states at the Fermi level: 0.59 states/eV per atom.

***

No. 3
A plane-wave DFT calculation with PBE was carried out for a relaxed structure of TbIrRu.

The structure belongs to space group Amm2 (No. 38); the cell edges are 8.889, 5.344 and 9.145 Å and the angles 90.00°, 90.00° and 90.00°. The distinct sites, in fractional coordinates, are Tb at (0.181, 0.000, 0.000), Tb at (0.317, 0.000, 0.333), Ir at (0.000, 0.246, 0.253), Ir at (0.250, 0.000, 0.666), Ru at (0.000, 0.000, 0.496), Ru at (0.500, 0.000, 0.842) and Ru at (0.500, 0.247, 0.083).

Its formation energy is -562 meV per atom. Its energy above the most stable polymorph in this dataset is 0.00 eV per formula unit. As for the density of states at the Fermi level: 0.98 states/eV per atom.

***

No. 4
A plane-wave DFT calculation with PBE was carried out for a relaxed structure of TbTiIrRu.

The structure belongs to space group F-43m (No. 216); the cell edges are 6.528, 6.528 and 6.528 Å and the angles 90.00°, 90.00° and 90.00°. The distinct sites, in fractional coordinates, are Tb at (0.000, 0.000, 0.000), Ti at (0.000, 0.000, 0.500), Ir at (0.250, 0.250, 0.250) and Ru at (0.250, 0.250, 0.750).

Its formation energy is -547 meV per atom. As for the density of states at the Fermi level: 0.66 states/eV per atom.

***

No. 5
A plane-wave DFT calculation with PBE was carried out for a relaxed structure of TbTmIrRu.

The structure belongs to space group F-43m (No. 216); the cell edges are 6.792, 6.792 and 6.792 Å and the angles 90.00°, 90.00° and 90.00°. The distinct sites, in fractional coordinates, are Tb at (0.000, 0.000, 0.000), Tm at (0.000, 0.000, 0.500), Ir at (0.250, 0.250, 0.750) and Ru at (0.250, 0.250, 0.250).

Its formation energy is -639 meV per atom. Its energy above the most stable polymorph in this dataset is 0.00 eV per formula unit. As for the density of states at the Fermi level: 0.53 states/eV per atom.

***

No. 6
A plane-wave DFT calculation with PBE was carried out for a relaxed structure of TbTmIrRu.

The structure belongs to space group Pmmm (No. 47); the cell edges are 3.387, 4.797 and 4.819 Å and the angles 90.00°, 90.00° and 90.00°. The distinct sites, in fractional coordinates, are Tb at (0.000, 0.000, 0.000), Tm at (0.000, 0.500, 0.500), Ir at (0.500, 0.000, 0.500) and Ru at (0.500, 0.500, 0.000).

Its formation energy is -625 meV per atom. Its energy above the most stable polymorph in this dataset is 0.05 eV per formula unit. As for the density of states at the Fermi level: 0.40 states/eV per atom.

***

No. 7
A plane-wave DFT calculation with PBE was carried out for a relaxed structure of TbUIrRu.

The structure belongs to space group F-43m (No. 216); the cell edges are 6.832, 6.832 and 6.832 Å and the angles 90.00°, 90.00° and 90.00°. The distinct sites, in fractional coordinates, are Tb at (0.000, 0.000, 0.000), U at (0.000, 0.000, 0.500), Ir at (0.250, 0.250, 0.750) and Ru at (0.250, 0.250, 0.250).

Its formation energy is -379 meV per atom. As for the density of states at the Fermi level: 1.93 states/eV per atom.

***

No. 8
A plane-wave DFT calculation with PBE was carried out for a relaxed structure of TcIrRu.

The structure belongs to space group Pnma (No. 62); the cell edges are 5.452, 3.848 and 8.182 Å and the angles 90.00°, 90.00° and 90.00°. The distinct sites, in fractional coordinates, are Tc at (0.119, 0.250, 0.082), Ir at (0.127, 0.250, 0.415) and Ru at (0.124, 0.250, 0.753).

Its formation energy is -83 meV per atom. Its energy above the most stable polymorph in this dataset is 0.29 eV per formula unit. As for the density of states at the Fermi level: 1.03 states/eV per atom.

***

No. 9
A plane-wave DFT calculation with PBE was carried out for a relaxed structure of Tc2Ir6Ru.

The structure belongs to space group C2/m (No. 12); the cell edges are 11.909, 2.728 and 8.217 Å and the angles 90.00°, 103.29° and 90.00°. The distinct sites, in fractional coordinates, are Tc at (0.166, 0.000, 0.223), Ir at (0.000, 0.500, 0.329), Ir at (0.166, 0.000, 0.892), Ir at (0.168, 0.000, 0.554) and Ru at (0.000, 0.500, 0.000).

Its formation energy is -86 meV per atom. Its energy above the most stable polymorph in this dataset is 0.23 eV per formula unit. As for the density of states at the Fermi level: 1.08 states/eV per atom.

***

No. 10
A plane-wave DFT calculation with PBE was carried out for a relaxed structure of TcIr6Ru.

The structure belongs to space group P4/mmm (No. 123); the cell edges are 3.865, 3.865 and 7.727 Å and the angles 90.00°, 90.00° and 90.00°. The distinct sites, in fractional coordinates, are Tc at (0.000, 0.000, 0.000), Ir at (0.000, 0.500, 0.249), Ir at (0.500, 0.500, 0.000), Ir at (0.500, 0.500, 0.500) and Ru at (0.000, 0.000, 0.500).

Its formation energy is -65 meV per atom. Its energy above the most stable polymorph in this dataset is 0.00 eV per formula unit. As for the density of states at the Fermi level: 1.59 states/eV per atom.

***

No. 11
A plane-wave DFT calculation with PBE was carried out for a relaxed structure of TcIr6Ru.

The structure belongs to space group R-3m (No. 166, hexagonal axes); the cell edges are 6.9721, 6.9721 and 9.8122 Å and the angles 90.00°, 90.00° and 120.00°. The distinct sites, in fractional coordinates, are Tc at (0.0000, 0.0000, 0.0000), Ir at (0.0787, 0.5393, 0.3813) and Ru at (0.0000, 0.0000, 0.5000).

Its formation energy is 903 meV per atom. Its energy above the most stable polymorph in this dataset is 7.74 eV per formula unit. As for the density of states at the Fermi level: 1.70 states/eV per atom.

***

No. 12
A plane-wave DFT calculation with PBE was carried out for a relaxed structure of TcIr4Ru2.

The structure belongs to space group Cmmm (No. 65); the cell edges are 2.693, 29.973 and 2.685 Å and the angles 90.00°, 90.00° and 90.00°. The distinct sites, in fractional coordinates, are Tc at (0.000, 0.000, 0.000), Ir at (0.000, 0.359, 0.000), Ir at (0.000, 0.437, 0.500) and Ru at (0.000, 0.285, 0.500).

Its formation energy is 390 meV per atom. Its energy above the most stable polymorph in this dataset is 1.15 eV per formula unit. As for the density of states at the Fermi level: 1.49 states/eV per atom.

***

No. 13
A plane-wave DFT calculation with PBE was carried out for a relaxed structure of TcIrRu.

The structure belongs to space group P-6m2 (No. 187); the cell edges are 4.3031, 4.3031 and 2.7292 Å and the angles 90.00°, 90.00° and 120.00°. The distinct sites, in fractional coordinates, are Tc at (0.0000, 0.0000, 0.0000), Ir at (0.6667, 0.3333, 0.5000) and Ru at (0.3333, 0.6667, 0.0000).

Its formation energy is 102 meV per atom. Its energy above the most stable polymorph in this dataset is 0.84 eV per formula unit. As for the density of states at the Fermi level: 1.32 states/eV per atom.

***

No. 14
A plane-wave DFT calculation with PBE was carried out for a relaxed structure of TcIr6Ru5.

The structure belongs to space group C2/m (No. 12); the cell edges are 5.797, 13.853 and 5.304 Å and the angles 90.00°, 118.17° and 90.00°. The distinct sites, in fractional coordinates, are Tc at (0.000, 0.000, 0.000), Ir at (0.004, 0.167, 0.254), Ir at (0.021, 0.500, 0.761), Ru at (0.000, 0.000, 0.500), Ru at (0.000, 0.332, 0.000) and Ru at (0.000, 0.334, 0.500).

Its formation energy is 674 meV per atom. Its energy above the most stable polymorph in this dataset is 8.68 eV per formula unit. As for the density of states at the Fermi level: 1.40 states/eV per atom.

***

No. 15
A plane-wave DFT calculation with PBE was carried out for a relaxed structure of TcIr5Ru4.

The structure belongs to space group C2/m (No. 12); the cell edges are 13.695, 3.884 and 6.585 Å and the angles 90.00°, 118.64° and 90.00°. The distinct sites, in fractional coordinates, are Tc at (0.000, 0.000, 0.000), Ir at (0.000, 0.000, 0.500), Ir at (0.169, 0.500, 0.715), Ir at (0.173, 0.500, 0.124), Ru at (0.024, 0.500, 0.267) and Ru at (0.172, 0.000, 0.419).

Its formation energy is 358 meV per atom. Its energy above the most stable polymorph in this dataset is 0.00 eV per formula unit. As for the density of states at the Fermi level: 1.28 states/eV per atom.

***

No. 16
A plane-wave DFT calculation with PBE was carried out for a relaxed structure of TcIr8Ru5.

The structure belongs to space group I-4 (No. 82); the cell edges are 7.552, 7.552 and 7.539 Å and the angles 90.00°, 90.00° and 90.00°. The distinct sites, in fractional coordinates, are Tc at (0.000, 0.000, 0.000), Ir at (0.069, 0.841, 0.674), Ir at (0.122, 0.685, 0.995), Ru at (0.000, 0.500, 0.750) and Ru at (0.105, 0.696, 0.332).

Its formation energy is 393 meV per atom. As for the density of states at the Fermi level: 1.29 states/eV per atom.

***

No. 17
A plane-wave DFT calculation with PBE was carried out for a relaxed structure of TcIr2Ru5.

The structure belongs to space group Fmm2 (No. 42); the cell edges are 5.479, 8.669 and 9.494 Å and the angles 90.00°, 90.00° and 90.00°. The distinct sites, in fractional coordinates, are Tc at (0.000, 0.000, 0.000), Ir at (0.000, 0.250, 0.168), Ru at (0.000, 0.000, 0.501), Ru at (0.250, 0.000, 0.251) and Ru at (0.250, 0.250, 0.417).

Its formation energy is -75 meV per atom. As for the density of states at the Fermi level: 0.91 states/eV per atom.

***

No. 18
A plane-wave DFT calculation with PBE was carried out for a relaxed structure of TcIrRu.

The structure belongs to space group P3m1 (No. 156); the cell edges are 2.7276, 2.7276 and 6.6725 Å and the angles 90.00°, 90.00° and 120.00°. The distinct sites, in fractional coordinates, are Tc at (0.0000, 0.0000, 0.0000), Ir at (0.6667, 0.3333, 0.3360) and Ru at (0.3333, 0.6667, 0.6786).

Its formation energy is -31 meV per atom. Its energy above the most stable polymorph in this dataset is 0.44 eV per formula unit. As for the density of states at the Fermi level: 0.97 states/eV per atom.

***

No. 19
A plane-wave DFT calculation with PBE was carried out for a relaxed structure of TcIr6Ru2.

The structure belongs to space group R3m (No. 160, hexagonal axes); the cell edges are 5.2715, 5.2715 and 18.4760 Å and the angles 90.00°, 90.00° and 120.00°. The distinct sites, in fractional coordinates, are Tc at (0.0000, 0.0000, 0.0000), Ir at (0.0095, 0.5048, 0.4377), Ir at (0.0127, 0.5064, 0.2236), Ru at (0.0000, 0.0000, 0.2630) and Ru at (0.0000, 0.0000, 0.3879).

Its formation energy is 437 meV per atom. Its energy above the most stable polymorph in this dataset is 4.37 eV per formula unit. As for the density of states at the Fermi level: 1.08 states/eV per atom.

***

No. 20
A plane-wave DFT calculation with PBE was carried out for a relaxed structure of TcIr3Ru3.

The structure belongs to space group P6_3/m (No. 176); the cell edges are 11.3343, 11.3343 and 2.6749 Å and the angles 90.00°, 90.00° and 120.00°. The distinct sites, in fractional coordinates, are Tc at (0.3333, 0.6667, 0.2500), Ir at (0.1606, 0.4295, 0.2500) and Ru at (0.0483, 0.6123, 0.2500).

Its formation energy is 734 meV per atom. As for the density of states at the Fermi level: 0.82 states/eV per atom.

***

No. 21
A plane-wave DFT calculation with PBE was carried out for a relaxed structure of Tc2Ir7Ru2.

The structure belongs to space group C2/m (No. 12); the cell edges are 9.287, 7.908 and 4.726 Å and the angles 90.00°, 100.03° and 90.00°. The distinct sites, in fractional coordinates, are Tc at (0.000, 0.177, 0.000), Ir at (0.000, 0.000, 0.500), Ir at (0.038, 0.500, 0.269), Ir at (0.230, 0.179, 0.742) and Ru at (0.234, 0.000, 0.249).

Its formation energy is 282 meV per atom. As for the density of states at the Fermi level: 1.05 states/eV per atom.

***

No. 22
A plane-wave DFT calculation with PBE was carried out for a relaxed structure of TcIrRu.

The structure belongs to space group Imm2 (No. 44); the cell edges are 2.713, 3.874 and 8.168 Å and the angles 90.00°, 90.00° and 90.00°. The distinct sites, in fractional coordinates, are Tc at (0.000, 0.000, 0.000), Ir at (0.000, 0.000, 0.667) and Ru at (0.000, 0.000, 0.335).

Its formation energy is -63 meV per atom. Its energy above the most stable polymorph in this dataset is 0.35 eV per formula unit. As for the density of states at the Fermi level: 1.06 states/eV per atom.

***

No. 23
A plane-wave DFT calculation with PBE was carried out for a relaxed structure of TcIrRu.

The structure belongs to space group F-43m (No. 216); the cell edges are 5.876, 5.876 and 5.876 Å and the angles 90.00°, 90.00° and 90.00°. The distinct sites, in fractional coordinates, are Tc at (0.000, 0.000, 0.000), Ir at (0.250, 0.250, 0.250) and Ru at (0.250, 0.250, 0.750).

Its formation energy is 461 meV per atom. Its energy above the most stable polymorph in this dataset is 1.92 eV per formula unit. As for the density of states at the Fermi level: 0.62 states/eV per atom.

***

No. 24
A plane-wave DFT calculation with PBE was carried out for a relaxed structure of TcIr4Ru.

The structure belongs to space group Cmc2_1 (No. 36); the cell edges are 2.738, 14.293 and 8.835 Å and the angles 90.00°, 90.00° and 90.00°. The distinct sites, in fractional coordinates, are Tc at (0.000, 0.165, 0.000), Ir at (0.000, 0.057, 0.251), Ir at (0.000, 0.173, 0.499), Ir at (0.000, 0.388, 0.250), Ir at (0.000, 0.498, 0.501) and Ru at (0.000, 0.277, 0.751).

Its formation energy is -84 meV per atom. Its energy above the most stable polymorph in this dataset is 0.02 eV per formula unit. As for the density of states at the Fermi level: 0.97 states/eV per atom.